#a
Bi5O7F: PBEsol geometry, SCAN.

extended XYZ file:
```
52
Lattice="6.6496 -0.1698 0.0000 -0.8304 11.6571 0.0000 0.0000 0.0000 12.2753" Properties=species:S:1:pos:R:3 pbc="T T T"
O 0.2495 5.9201 10.2646
O 3.1834 4.6933 4.1131
O 3.9895 0.0067 8.1483
O 4.0232 2.4970 10.6121
O 1.4135 6.8028 3.3761
O 0.2832 8.4104 7.8008
O 0.0240 0.0154 4.8452
O 3.1437 -0.0031 1.2750
O 0.1925 8.8879 4.9214
O 4.4056 4.6845 8.8992
O 5.5359 3.0769 4.4745
O -0.5566 10.6068 2.0245
O 2.8855 5.7283 10.9829
O 5.5696 5.5672 2.0107
O 3.9325 2.9745 1.2163
O 5.7951 11.4719 7.4300
O 5.1535 0.8894 2.7616
O 6.3757 0.8805 10.2507
O -0.2341 5.7467 7.4126
O 2.6357 6.7940 8.1622
O 2.6755 11.4904 11.0003
O 1.8296 11.4806 4.1269
O 5.6266 2.5994 7.3539
O 0.6656 10.5979 9.5137
O 1.8866 8.5128 11.0590
O 6.0532 5.7406 4.8626
O 1.7959 8.9903 1.6632
O 2.9336 5.7590 1.2924
Bi 2.5381 0.8988 9.4488
Bi 5.8487 3.0223 9.5673
Bi 4.7689 1.2055 0.0357
Bi -0.0296 8.4650 2.7080
Bi 3.2810 10.5885 2.8265
Bi 4.5131 4.7658 0.1809
Bi 2.1087 8.9358 8.8456
Bi 5.0460 0.8081 6.3186
Bi 0.7731 10.6792 5.9567
Bi 3.5960 6.4965 3.1358
Bi 4.7902 4.3684 6.1733
Bi 5.4477 6.6424 8.9642
Bi 1.0502 10.2818 12.2396
Bi 3.7104 2.5515 3.4297
Bi 0.6865 0.7528 3.0019
Bi 5.1327 10.7345 9.2734
Bi 1.0289 7.1189 6.1020
Bi 0.3714 4.8449 3.3111
Bi 2.2231 4.9908 9.1395
Bi 1.3060 6.7215 12.0943
F 3.1675 2.4367 5.8793
F -0.5725 8.3502 0.2583
F 2.6516 9.0506 6.3960
F 6.3916 3.1371 12.0169
```



#b
Bi5O7F: PBEsol geometry, SCAN.

extended XYZ file:
```
52
Lattice="5.1346 0.0000 0.0000 2.5673 14.0979 -0.0451 2.5673 5.3641 13.0376" Properties=species:S:1:pos:R:3 pbc="T T T"
O 3.8416 6.3280 1.0703
O 5.0121 7.4392 3.5416
O 3.8737 14.5964 9.7444
O 5.2572 17.1702 10.0379
O 6.4090 3.4149 5.4339
O 6.4410 14.5964 9.7444
O 6.3956 4.8655 3.2481
O 2.4447 3.6076 0.9836
O 7.8245 15.8544 12.0089
O 3.8603 16.0470 7.5586
O 4.7597 11.2084 6.5401
O 5.2572 12.0227 9.4509
O 2.9423 9.1239 5.1486
O 6.4277 13.1339 11.9222
O 3.8603 13.1459 11.9301
O 6.4090 6.3160 1.0624
O 6.4277 16.0589 7.5666
O 3.8416 3.4030 5.4259
O 7.8245 13.3385 7.4799
O 7.3270 18.8549 11.6448
O 3.8283 4.8655 3.2481
O 2.4447 6.1234 5.5126
O 2.9423 0.6070 1.3477
O 0.3749 1.4774 0.0439
O 5.5096 8.2535 6.4524
O 9.8943 17.9845 12.9486
O 5.0121 2.2917 2.9546
O 7.3270 10.3380 7.8439
Bi 7.6789 16.4356 9.4383
Bi 2.5904 6.7046 2.9421
Bi 7.6789 12.7573 10.0504
Bi 5.2282 10.2359 8.3794
Bi 5.0411 9.2261 4.6131
Bi 2.6609 4.8592 11.1544
Bi 5.1116 14.1739 7.9284
Bi 5.2282 12.1650 0.2107
Bi 5.1577 4.4429 1.4322
Bi 2.4738 7.7981 6.7520
Bi 7.7955 11.6638 6.2405
Bi 5.1346 11.3562 12.3095
Bi 5.1346 8.1057 0.6830
Bi 5.1116 15.0190 11.5603
Bi 7.6084 14.6028 1.8381
Bi 5.0411 7.2969 12.7818
Bi 2.5673 3.7388 7.2243
Bi 5.1577 5.2880 5.0641
Bi 7.7020 15.7231 5.7682
Bi 2.5904 3.0263 3.5542
F 5.1346 14.8953 5.2156
F 2.5673 8.9336 1.2356
F 7.7020 10.5284 11.7569
F 5.1346 4.5667 7.7770
```



Most stable structure - #b; separation to the second - 0.038 eV/atom.



#a
BiWOF2: PBEsol geometry, SCAN.

extended XYZ file:
```
5
Lattice="4.4713 0.0000 0.0000 0.0000 4.1095 0.0000 0.0000 0.0000 4.1095" Properties=species:S:1:pos:R:3 pbc="T T T"
O 0.0000 0.0000 0.0000
F 0.0000 2.0548 0.0000
F 0.0000 0.0000 2.0548
W 2.2357 2.0548 2.0548
Bi 2.2357 0.0000 0.0000
```



#b
BiWOF2: PBEsol geometry, SCAN.

extended XYZ file:
```
5
Lattice="-3.1998 -2.7066 -1.5144 2.4190 -0.8163 -3.6523 2.0177 -3.5809 2.1368" Properties=species:S:1:pos:R:3 pbc="T T T"
O 1.0088 -1.7905 1.0684
W 0.6185 -3.5519 -1.5150
F 1.2095 -0.4082 -1.8262
F -1.5999 -1.3533 -0.7572
Bi 0.0000 0.0000 0.0000
```



Most stable structure - #b; separation to the second - 0.602 eV/atom.